Entry 1:
A geometry-optimized AgAuSe2 structure. Source: Alexandria via LeMat-Bulk, functional PBE.

a = 7.0192 Å, b = 7.0192 Å, c = 7.0192 Å
α = 150.44°, β = 149.70°, γ = 42.84°
Fractional coordinates of all 4 atoms:
Ag 0.5479 0.5479 0.0000
Au 0.7979 0.2979 0.5000
Se 0.9484 0.9484 0.0000
Se 0.2058 0.7058 0.5000

## Properties
Space group ... Imm2 (44)
Formation energy without anion corrections ... 0.18 eV/atom
Calculated total energy ... -0.114 hartree per atom

***

Entry 2:
A geometry-optimized Ag5AuSe3 structure. Source: Alexandria via LeMat-Bulk, functional PBE.

a = 7.9649 Å, b = 6.1919 Å, c = 9.3270 Å
α = 94.74°, β = 71.70°, γ = 70.21°
Fractional coordinates of all 18 atoms:
Ag 0.0355 0.2407 0.2531
Ag 0.2992 0.6038 0.9890
Ag 0.6533 0.9335 0.0623
Ag 0.3204 0.6065 0.4659
Ag 0.6796 0.3935 0.5341
Ag 0.3467 0.0665 0.9377
Ag 0.3859 0.0473 0.3967
Ag 0.7008 0.3962 0.0110
Ag 0.9645 0.7593 0.7469
Ag 0.6141 0.9527 0.6033
Au 0.1422 0.1058 0.7117
Au 0.8578 0.8942 0.2883
Se 0.6563 0.6532 0.8014
Se 0.6813 0.6149 0.2910
Se 0.0000 0.0000 0.0000
Se 0.0000 0.0000 0.5000
Se 0.3437 0.3468 0.1986
Se 0.3187 0.3851 0.7090

## Properties
Space group ... P-1 (2)
Formation energy without anion corrections ... 0.00 eV/atom
Calculated total energy ... -0.114 hartree per atom

***

Entry 3:
A geometry-optimized Ag3Au2Se4 structure. Source: Alexandria via LeMat-Bulk, functional PBE.

a = 5.4859 Å, b = 8.6400 Å, c = 8.6400 Å
α = 80.93°, β = 86.21°, γ = 86.21°
Fractional coordinates of all 18 atoms:
Ag 0.9919 0.9847 0.2358
Ag 0.5081 0.7642 0.0153
Ag 0.0081 0.0153 0.7642
Ag 0.4919 0.2358 0.9847
Ag 0.2500 0.6654 0.3346
Ag 0.7500 0.3346 0.6654
Au 0.4611 0.2054 0.4684
Au 0.0389 0.5316 0.7946
Au 0.5389 0.7946 0.5316
Au 0.9611 0.4684 0.2054
Se 0.5006 0.9490 0.2515
Se 0.9994 0.7485 0.0510
Se 0.4994 0.0510 0.7485
Se 0.0006 0.2515 0.9490
Se 0.9791 0.2245 0.4118
Se 0.5209 0.5882 0.7755
Se 0.0209 0.7755 0.5882
Se 0.4791 0.4118 0.2245

## Properties
Space group ... C2/c (15)
Formation energy without anion corrections ... 0.01 eV/atom
Calculated total energy ... -0.118 hartree per atom

***

Entry 4:
A geometry-optimized AgAuSe2 structure. Source: Alexandria via LeMat-Bulk, functional PBE.

a = 4.4162 Å, b = 4.4162 Å, c = 7.1608 Å
α = 90.13°, β = 90.13°, γ = 37.98°
Fractional coordinates of all 4 atoms:
Ag 0.5194 0.5194 0.4964
Au 0.2276 0.2276 0.2521
Se 0.9511 0.9511 0.0444
Se 0.8019 0.8019 0.7071

## Properties
Space group ... Cm (8)
Formation energy without anion corrections ... 0.11 eV/atom
Calculated total energy ... -0.116 hartree per atom

***

Entry 5:
A geometry-optimized Ag12Au3Se5 structure. Source: Alexandria via LeMat-Bulk, functional PBE.

a = 13.5381 Å, b = 13.5381 Å, c = 13.5381 Å
α = 109.47°, β = 109.47°, γ = 109.47°
Fractional coordinates of all 80 atoms:
Au 0.7500 0.3750 0.1250
Au 0.8750 0.7500 0.1250
Au 0.3750 0.7500 0.6250
Au 0.2500 0.1250 0.3750
Au 0.8750 0.1250 0.2500
Au 0.3750 0.6250 0.2500
Au 0.6250 0.3750 0.7500
Au 0.1250 0.8750 0.7500
Au 0.7500 0.8750 0.6250
Au 0.6250 0.2500 0.3750
Au 0.1250 0.2500 0.8750
Au 0.2500 0.6250 0.8750
Se 0.1250 0.3750 0.2500
Se 0.0000 0.5000 0.0000
Se 0.0000 0.0000 0.0000
Se 0.3750 0.2500 0.1250
Se 0.5000 0.0000 0.5000
Se 0.5000 0.5000 0.0000
Se 0.1250 0.7500 0.3750
Se 0.7500 0.1250 0.8750
Se 0.7500 0.6250 0.3750
Se 0.3750 0.1250 0.7500
Se 0.6250 0.8750 0.2500
Se 0.5000 0.5000 0.5000
Se 0.5000 0.0000 0.0000
Se 0.0000 0.0000 0.5000
Se 0.2500 0.3750 0.6250
Se 0.2500 0.8750 0.1250
Se 0.0000 0.5000 0.5000
Se 0.8750 0.2500 0.6250
Se 0.6250 0.7500 0.8750
Se 0.8750 0.6250 0.7500
Ag 0.7255 0.1412 0.0597
Ag 0.3342 0.5597 0.4184
Ag 0.9403 0.3588 0.2745
Ag 0.5597 0.2255 0.1412
Ag 0.5843 0.7255 0.6658
Ag 0.9403 0.5816 0.1658
Ag 0.3342 0.7745 0.4157
Ag 0.0816 0.9157 0.1412
Ag 0.5816 0.9403 0.6658
Ag 0.7255 0.5843 0.1658
Ag 0.7745 0.4403 0.3588
Ag 0.8342 0.9184 0.0597
Ag 0.1412 0.7255 0.5597
Ag 0.3588 0.4184 0.0843
Ag 0.0843 0.9184 0.3588
Ag 0.4157 0.1412 0.5816
Ag 0.0843 0.1658 0.2255
Ag 0.4403 0.6658 0.0816
Ag 0.8342 0.9157 0.2745
Ag 0.1412 0.4157 0.0816
Ag 0.3588 0.9403 0.7745
Ag 0.5816 0.6412 0.4157
Ag 0.9184 0.8342 0.5597
Ag 0.7745 0.3342 0.9157
Ag 0.4184 0.3588 0.5843
Ag 0.0816 0.1658 0.4403
Ag 0.2255 0.6658 0.0843
Ag 0.1658 0.0843 0.7255
Ag 0.6412 0.0597 0.2255
Ag 0.8588 0.5843 0.9184
Ag 0.5597 0.3342 0.9184
Ag 0.5843 0.8588 0.4184
Ag 0.9157 0.8342 0.7745
Ag 0.9157 0.0816 0.6412
Ag 0.8588 0.2745 0.4403
Ag 0.1658 0.0816 0.9403
Ag 0.6412 0.5816 0.9157
Ag 0.4184 0.0597 0.3342
Ag 0.2745 0.4157 0.8342
Ag 0.2255 0.5597 0.6412
Ag 0.9184 0.0843 0.8588
Ag 0.6658 0.2255 0.5843
Ag 0.4403 0.7745 0.8588
Ag 0.0597 0.4184 0.8342
Ag 0.4157 0.2745 0.3342
Ag 0.0597 0.6412 0.7255
Ag 0.6658 0.4403 0.5816
Ag 0.2745 0.8588 0.9403

## Properties
Space group ... Ia-3d (230)
Formation energy without anion corrections ... 0.10 eV/atom
Calculated total energy ... -0.109 hartree per atom

***

Entry 6:
A geometry-optimized AgAuSe2 structure. Source: Alexandria via LeMat-Bulk, functional PBE.

a = 7.8766 Å, b = 7.8766 Å, c = 7.8766 Å
α = 29.71°, β = 29.71°, γ = 29.71°
Fractional coordinates of all 4 atoms:
Au 0.0000 0.0000 0.0000
Se 0.8934 0.8934 0.8934
Se 0.1066 0.1066 0.1066
Ag 0.5000 0.5000 0.5000

## Properties
Space group ... R-3m (166)
Formation energy without anion corrections ... 0.09 eV/atom
Calculated total energy ... -0.117 hartree per atom

***

Entry 7:
A geometry-optimized AgAuSe2 structure. Source: Alexandria via LeMat-Bulk, functional PBE.

a = 3.7157 Å, b = 7.0673 Å, c = 3.7235 Å
α = 90.00°, β = 90.00°, γ = 90.00°
Fractional coordinates of all 4 atoms:
Ag 0.5000 0.0000 0.5000
Au 0.0000 0.5000 0.5000
Se 0.0000 0.0000 0.0000
Se 0.5000 0.5000 0.0000

## Properties
Space group ... Pmmm (47)
Formation energy without anion corrections ... 0.22 eV/atom
Calculated total energy ... -0.112 hartree per atom

***

Entry 8:
A geometry-optimized Ag6AuSe4 structure. Source: Alexandria via LeMat-Bulk, functional PBE.

a = 8.0187 Å, b = 8.0187 Å, c = 8.0187 Å
α = 61.37°, β = 137.70°, γ = 137.70°
Fractional coordinates of all 11 atoms:
Ag 0.0000 0.9026 0.4121
Ag 0.0000 0.4121 0.9026
Ag 0.4905 0.5879 0.5879
Ag 0.5000 0.5000 0.0000
Ag 0.5095 0.0974 0.0974
Ag 0.5000 0.0000 0.5000
Au 0.0000 0.0000 0.0000
Se 0.0000 0.5987 0.1194
Se 0.5207 0.4013 0.4013
Se 0.0000 0.1194 0.5987
Se 0.4793 0.8806 0.8806

## Properties
Space group ... I-42m (121)
Formation energy without anion corrections ... 0.00 eV/atom
Calculated total energy ... -0.115 hartree per atom

***

Entry 9:
A geometry-optimized Ag2AuSe2 structure. Source: Alexandria via LeMat-Bulk, functional PBE.

a = 7.2766 Å, b = 7.2766 Å, c = 4.0063 Å
α = 90.00°, β = 90.00°, γ = 90.00°
Fractional coordinates of all 10 atoms:
Au 0.0000 0.0000 0.0000
Au 0.5000 0.5000 0.0000
Se 0.3255 0.8255 0.0000
Se 0.8255 0.6745 0.0000
Se 0.6745 0.1745 0.0000
Se 0.1745 0.3255 0.0000
Ag 0.1384 0.6384 0.5000
Ag 0.6384 0.8616 0.5000
Ag 0.8616 0.3616 0.5000
Ag 0.3616 0.1384 0.5000

## Properties
Space group ... P4/mbm (127)
Formation energy without anion corrections ... 0.08 eV/atom
Calculated total energy ... -0.114 hartree per atom
Relative energy among the computed polymorphs ... 55 meV per atom

***

Entry 10:
A geometry-optimized Ag3AuSe structure. Source: Alexandria via LeMat-Bulk, functional PBE.

a = 5.1372 Å, b = 5.1372 Å, c = 5.1372 Å
α = 90.00°, β = 90.00°, γ = 90.00°
Fractional coordinates of all 5 atoms:
Au 0.0000 0.0000 0.0000
Se 0.5000 0.5000 0.5000
Ag 0.0000 0.5000 0.0000
Ag 0.0000 0.0000 0.5000
Ag 0.5000 0.0000 0.0000

## Properties
Space group ... Pm-3m (221)
Formation energy without anion corrections ... 0.65 eV/atom
Calculated total energy ... -0.089 hartree per atom
Relative energy among the computed polymorphs ... 265 meV per atom

***

Entry 11:
A geometry-optimized AgAuSe2 structure. Source: Alexandria via LeMat-Bulk, functional PBE.

a = 3.9167 Å, b = 3.9167 Å, c = 6.8986 Å
α = 73.51°, β = 73.51°, γ = 60.00°
Fractional coordinates of all 4 atoms:
Ag 0.4998 0.4998 0.5006
Au 0.6657 0.6657 0.0029
Se 0.0775 0.0775 0.7676
Se 0.2570 0.2570 0.2289

## Properties
Space group ... R3m (160)
Formation energy without anion corrections ... 0.09 eV/atom
Calculated total energy ... -0.117 hartree per atom

***

Entry 12:
A geometry-optimized AgAu2Se2 structure. Source: Alexandria via LeMat-Bulk, functional PBE.

a = 7.4563 Å, b = 7.4563 Å, c = 3.7963 Å
α = 90.00°, β = 90.00°, γ = 90.00°
Fractional coordinates of all 10 atoms:
Au 0.1315 0.6315 0.5000
Au 0.6315 0.8685 0.5000
Au 0.8685 0.3685 0.5000
Au 0.3685 0.1315 0.5000
Se 0.3111 0.8111 0.0000
Se 0.8111 0.6889 0.0000
Se 0.6889 0.1889 0.0000
Se 0.1889 0.3111 0.0000
Ag 0.0000 0.0000 0.0000
Ag 0.5000 0.5000 0.0000

## Properties
Space group ... P4/mbm (127)
Formation energy without anion corrections ... 0.19 eV/atom
Calculated total energy ... -0.113 hartree per atom

***

Entry 13:
A geometry-optimized AgAuSe2 structure. Source: Alexandria via LeMat-Bulk, functional PBE.

a = 4.8452 Å, b = 4.8452 Å, c = 4.8452 Å
α = 60.00°, β = 60.00°, γ = 60.00°
Fractional coordinates of all 4 atoms:
Au 0.5000 0.5000 0.5000
Se 0.2500 0.2500 0.2500
Se 0.7500 0.7500 0.7500
Ag 0.0000 0.0000 0.0000

## Properties
Space group ... Fm-3m (225)
Formation energy without anion corrections ... 0.38 eV/atom
Calculated total energy ... -0.106 hartree per atom

***

Entry 14:
A geometry-optimized Ag3AuSe structure. Source: Alexandria via LeMat-Bulk, functional PBE.

a = 5.0166 Å, b = 5.0166 Å, c = 5.0166 Å
α = 90.00°, β = 90.00°, γ = 90.00°
Fractional coordinates of all 5 atoms:
Au 0.5000 0.5000 0.5000
Se 0.0000 0.0000 0.0000
Ag 0.0000 0.5000 0.0000
Ag 0.0000 0.0000 0.5000
Ag 0.5000 0.0000 0.0000

## Properties
Space group ... Pm-3m (221)
Formation energy without anion corrections ... 0.38 eV/atom
Calculated total energy ... -0.099 hartree per atom
Relative energy among the computed polymorphs ... 0 meV per atom

***

Entry 15:
A geometry-optimized AgAuSe2 structure. Source: Alexandria via LeMat-Bulk, functional PBE.

a = 5.9726 Å, b = 5.9726 Å, c = 7.2831 Å
α = 65.79°, β = 65.79°, γ = 90.00°
Fractional coordinates of all 8 atoms:
Au 0.0000 0.0000 0.0000
Au 0.7500 0.2500 0.5000
Se 0.6346 0.1250 0.2500
Se 0.1154 0.6250 0.2500
Se 0.3750 0.3654 0.7500
Se 0.8750 0.8846 0.7500
Ag 0.5000 0.5000 0.0000
Ag 0.2500 0.7500 0.5000

## Properties
Space group ... I-42d (122)
Formation energy without anion corrections ... 0.08 eV/atom
Calculated total energy ... -0.117 hartree per atom

***

Entry 16:
A geometry-optimized Ag4AuSe structure. Source: Alexandria via LeMat-Bulk, functional PBE.

a = 5.5040 Å, b = 5.5040 Å, c = 5.5040 Å
α = 60.00°, β = 60.00°, γ = 60.00°
Fractional coordinates of all 6 atoms:
Ag 0.8738 0.3754 0.3754
Ag 0.3754 0.3754 0.8738
Ag 0.3754 0.8738 0.3754
Ag 0.3754 0.3754 0.3754
Au 0.7500 0.7500 0.7500
Se 0.0000 0.0000 0.0000

## Properties
Space group ... F-43m (216)
Formation energy without anion corrections ... 0.26 eV/atom
Calculated total energy ... -0.102 hartree per atom

***

Entry 17:
A geometry-optimized Ag12AuSe6 structure. Source: Alexandria via LeMat-Bulk, functional PBE.

a = 7.3998 Å, b = 7.4002 Å, c = 7.4002 Å
α = 77.56°, β = 102.43°, γ = 102.43°
Fractional coordinates of all 19 atoms:
Ag 0.4903 0.8050 0.4626
Ag 0.1950 0.4626 0.5097
Ag 0.5374 0.5097 0.8050
Ag 0.5097 0.1950 0.5374
Ag 0.8050 0.5374 0.4903
Ag 0.4626 0.4903 0.1950
Ag 0.8591 0.1476 0.4568
Ag 0.4568 0.8591 0.8523
Ag 0.1476 0.5432 0.8591
Ag 0.1409 0.8524 0.5432
Ag 0.5432 0.1409 0.1477
Ag 0.8524 0.4568 0.1409
Au 0.0000 0.0000 0.0000
Se 0.1823 0.7099 0.1724
Se 0.7100 0.8276 0.1823
Se 0.1724 0.1823 0.2900
Se 0.8177 0.2901 0.8276
Se 0.2900 0.1724 0.8177
Se 0.8276 0.8177 0.7100

## Properties
Space group ... R-3 (148)
Formation energy without anion corrections ... 0.02 eV/atom
Calculated total energy ... -0.112 hartree per atom

***

Entry 18:
A geometry-optimized AgAuSe2 structure. Source: Alexandria via LeMat-Bulk, functional PBE.

a = 4.3784 Å, b = 2.9815 Å, c = 7.8455 Å
α = 67.84°, β = 90.00°, γ = 90.00°
Fractional coordinates of all 4 atoms:
Ag 0.0000 0.2427 0.5089
Au 0.5000 0.0035 0.7451
Se 0.0000 0.8276 0.9211
Se 0.5000 0.4261 0.3249

## Properties
Space group ... Pm (6)
Formation energy without anion corrections ... 0.10 eV/atom
Calculated total energy ... -0.117 hartree per atom

***

Entry 19:
A geometry-optimized Ag4AuSe2 structure. Source: Alexandria via LeMat-Bulk, functional PBE.

a = 7.2144 Å, b = 6.8617 Å, c = 7.4294 Å
α = 110.01°, β = 111.83°, γ = 104.22°
Fractional coordinates of all 14 atoms:
Ag 0.1119 0.7355 0.7910
Ag 0.8388 0.5916 0.9904
Ag 0.0125 0.3649 0.3816
Ag 0.5986 0.8516 0.5099
Ag 0.2305 0.0406 0.3774
Ag 0.6030 0.9129 0.1228
Ag 0.0706 0.1953 0.7087
Ag 0.3802 0.2322 0.1172
Au 0.7012 0.2921 0.5243
Au 0.9268 0.0169 0.9753
Se 0.2604 0.5884 0.0777
Se 0.6118 0.1538 0.8916
Se 0.9333 0.7616 0.4230
Se 0.4703 0.5126 0.6090

## Properties
Space group ... P1 (1)
Formation energy without anion corrections ... 0.02 eV/atom
Calculated total energy ... -0.113 hartree per atom

***

Entry 20:
A geometry-optimized AgAuSe2 structure. Source: Alexandria via LeMat-Bulk, functional PBE.

a = 5.6236 Å, b = 5.6236 Å, c = 5.6236 Å
α = 137.56°, β = 137.56°, γ = 61.57°
Fractional coordinates of all 4 atoms:
Ag 0.2500 0.7500 0.5000
Au 0.7500 0.2500 0.5000
Se 0.0000 0.0000 0.0000
Se 0.5000 0.5000 0.0000

## Properties
Space group ... I4/mmm (139)
Formation energy without anion corrections ... 0.30 eV/atom
Calculated total energy ... -0.109 hartree per atom

***

Entry 21:
A geometry-optimized AgAu4Se structure. Source: Alexandria via LeMat-Bulk, functional PBE.

a = 5.5435 Å, b = 5.5435 Å, c = 5.5435 Å
α = 60.00°, β = 60.00°, γ = 60.00°
Fractional coordinates of all 6 atoms:
Ag 0.0000 0.0000 0.0000
Au 0.8761 0.3746 0.3746
Au 0.3746 0.3746 0.8761
Au 0.3746 0.8761 0.3746
Au 0.3746 0.3746 0.3746
Se 0.7500 0.7500 0.7500

## Properties
Space group ... F-43m (216)
Formation energy without anion corrections ... 0.20 eV/atom
Calculated total energy ... -0.112 hartree per atom